VASP calculation (PBE-GGA) on a relaxed Sm6Tl2N crystal. Values from VASP.

Structure (Quantum ESPRESSO input):
```
&SYSTEM
  ibrav = 0, nat = 9, ntyp = 3
/
ATOMIC_SPECIES
Sm 150.36 Sm.upf
Tl 204.38 Tl.upf
N 14.01 N.upf
CELL_PARAMETERS angstrom
2.529 2.968 5.878
5.379 -3.005 3.435
6.360 3.053 -0.045
ATOMIC_POSITIONS crystal
Sm 0.256 0.256 0.744
Sm 0.256 0.744 0.255
Sm 0.744 0.256 0.745
Sm 0.744 0.256 0.255
Sm 0.256 0.744 0.745
Sm 0.744 0.744 0.256
Tl 0.250 0.250 0.250
Tl 0.750 0.750 0.750
N 0.500 0.500 0.500
```

Values from the calculation:
Space-group type: Fm-3m, No. 225
Uncorrected energy (eV per cell): -46.16
ΔE to the lowest computed polymorph (meV/atom): 0
V (Å³/cell): 248

---

VASP calculation (PBE-GGA) on a relaxed Sm2TlN crystal. Values from VASP.

Structure (Quantum ESPRESSO input):
```
&SYSTEM
  ibrav = 0, nat = 4, ntyp = 3
/
ATOMIC_SPECIES
Tl 204.38 Tl.upf
Sm 150.36 Sm.upf
N 14.01 N.upf
CELL_PARAMETERS angstrom
-1.306 1.615 2.426
-2.872 -0.261 -1.372
-1.269 -7.017 3.990
ATOMIC_POSITIONS crystal
Tl 0.500 0.500 0.500
Sm 0.000 0.000 0.821
Sm 0.000 0.000 0.179
N 0.500 0.500 0.000
```

Values from the calculation:
Space-group type: P4/mmm, No. 123
Uncorrected energy (eV per cell): -21.81
V (Å³/cell): 83

---

VASP calculation (PBE-GGA) on a relaxed SmTlN crystal. Values from VASP.

Structure (Quantum ESPRESSO input):
```
&SYSTEM
  ibrav = 0, nat = 6, ntyp = 3
/
ATOMIC_SPECIES
N 14.01 N.upf
Sm 150.36 Sm.upf
Tl 204.38 Tl.upf
CELL_PARAMETERS angstrom
3.539 0.000 0.000
0.000 3.539 0.000
-1.769 -1.769 11.112
ATOMIC_POSITIONS crystal
N 0.300 0.300 0.600
N 0.700 0.700 0.400
Sm 0.194 0.194 0.389
Sm 0.806 0.806 0.611
Tl 0.576 0.576 0.152
Tl 0.424 0.424 0.848
```

Values from the calculation:
Space-group type: I4/mmm, No. 139
Uncorrected energy (eV per cell): -35.78
V (Å³/cell): 139

---

VASP calculation (PBE-GGA) on a relaxed Sm6Tl2N crystal. Values from VASP.

Structure (Quantum ESPRESSO input):
```
&SYSTEM
  ibrav = 0, nat = 9, ntyp = 3
/
ATOMIC_SPECIES
Sm 150.36 Sm.upf
Tl 204.38 Tl.upf
N 14.01 N.upf
CELL_PARAMETERS angstrom
3.600 0.000 0.000
0.000 9.341 0.000
0.000 -4.671 7.671
ATOMIC_POSITIONS crystal
Sm 0.500 0.598 0.000
Sm 0.500 0.436 0.409
Sm 0.500 0.027 0.591
Sm 0.000 0.255 0.000
Sm 0.000 0.794 0.790
Sm 0.000 0.004 0.210
Tl 0.000 0.349 0.654
Tl 0.000 0.695 0.346
N 0.500 0.842 0.000
```

Values from the calculation:
Space-group type: Amm2, No. 38
Uncorrected energy (eV per cell): -44.86
ΔE to the lowest computed polymorph (meV/atom): 145
V (Å³/cell): 258

---

VASP calculation (PBE-GGA) on a relaxed Sm2TlN crystal. Values from VASP.

Structure (Quantum ESPRESSO input):
```
&SYSTEM
  ibrav = 0, nat = 4, ntyp = 3
/
ATOMIC_SPECIES
Sm 150.36 Sm.upf
Tl 204.38 Tl.upf
N 14.01 N.upf
CELL_PARAMETERS angstrom
-0.674 -2.761 -2.335
3.016 1.981 -0.316
1.865 -5.573 6.052
ATOMIC_POSITIONS crystal
Sm 0.268 0.036 0.331
Sm 0.732 0.964 0.669
Tl 0.500 0.500 0.000
N 0.000 0.500 0.500
```

Values from the calculation:
Space-group type: C2/m, No. 12
Uncorrected energy (eV per cell): -23.72
V (Å³/cell): 93

---

VASP calculation (PBE-GGA) on a relaxed Sm2TmTlN crystal. Values from VASP.

Structure (Quantum ESPRESSO input):
```
&SYSTEM
  ibrav = 0, nat = 5, ntyp = 4
/
ATOMIC_SPECIES
Sm 150.36 Sm.upf
Tm 168.93 Tm.upf
Tl 204.38 Tl.upf
N 14.01 N.upf
CELL_PARAMETERS angstrom
-3.085 -3.596 -0.072
1.778 -1.612 4.350
-3.325 2.805 2.399
ATOMIC_POSITIONS crystal
Sm 0.000 0.000 0.500
Sm 0.000 0.500 0.000
Tm 0.500 0.000 0.000
Tl 0.500 0.500 0.500
N 0.000 0.000 0.000
```

Values from the calculation:
Space-group type: P4/mmm, No. 123
Uncorrected energy (eV per cell): -29.04
V (Å³/cell): 117

---

Question: The lowest V belongs to which entry?
Answer: number 2